# 1
A relaxed LiNp2Tl2Se6 crystal, computed with PBE.

The structure in CIF format:
```
data_LiNp2Tl2Se6
_space_group_name_H-M_alt 'C 1 2/m 1'
_space_group_IT_number 12
_cell_length_a 7.074
_cell_length_b 12.355
_cell_length_c 8.048
_cell_angle_alpha 90.00
_cell_angle_beta 106.04
_cell_angle_gamma 90.00
loop_
_space_group_symop_operation_xyz
'x,y,z'
'-x,-y,-z'
'-x,y,-z'
'x,-y,z'
'x+1/2,y+1/2,z'
'-x+1/2,-y+1/2,-z'
'-x+1/2,y+1/2,-z'
'x+1/2,-y+1/2,z'
loop_
_atom_site_label
_atom_site_fract_x
_atom_site_fract_y
_atom_site_fract_z
Li1 0.000 0.000 0.000
Np1 0.000 0.334 0.000
Tl1 0.000 0.161 0.500
Se1 0.220 0.500 0.194
Se2 0.237 0.176 0.201
```

# 2
A relaxed LiNp2TlSe4 crystal, computed with PBE.

The structure in CIF format:
```
data_LiNp2TlSe4
_space_group_name_H-M_alt 'C m c m'
_space_group_IT_number 63
_space_group_name_Hall '-C 2c 2'
_cell_length_a 4.214
_cell_length_b 13.976
_cell_length_c 14.686
_cell_angle_alpha 90.00
_cell_angle_beta 90.00
_cell_angle_gamma 90.00
loop_
_atom_site_label
_atom_site_fract_x
_atom_site_fract_y
_atom_site_fract_z
Li1 0.000 0.169 0.250
Np1 0.000 0.368 0.560
Tl1 0.000 0.106 0.750
Se1 0.000 0.000 0.000
Se2 0.000 0.264 0.107
Se3 0.000 0.427 0.750
```

# 3
A relaxed Li2Np3TlSe6 crystal, computed with PBE.

The structure in CIF format:
```
data_Li2Np3TlSe6
_space_group_name_H-M_alt 'C 1 2/m 1'
_space_group_IT_number 12
_cell_length_a 18.899
_cell_length_b 4.161
_cell_length_c 8.459
_cell_angle_alpha 90.00
_cell_angle_beta 105.34
_cell_angle_gamma 90.00
loop_
_space_group_symop_operation_xyz
'x,y,z'
'-x,-y,-z'
'-x,y,-z'
'x,-y,z'
'x+1/2,y+1/2,z'
'-x+1/2,-y+1/2,-z'
'-x+1/2,y+1/2,-z'
'x+1/2,-y+1/2,z'
loop_
_atom_site_label
_atom_site_fract_x
_atom_site_fract_y
_atom_site_fract_z
Li1 0.186 0.000 0.353
Np1 0.000 0.500 0.500
Np2 0.169 0.000 0.826
Tl1 0.000 0.500 0.000
Se1 0.011 0.000 0.731
Se2 0.164 0.500 0.574
Se3 0.175 0.500 0.074
```

# 4
A relaxed Li2NpTl3Se6 crystal, computed with PBE.

The structure in CIF format:
```
data_Li2NpTl3Se6
_space_group_name_H-M_alt 'C 1 2/m 1'
_space_group_IT_number 12
_cell_length_a 7.017
_cell_length_b 12.162
_cell_length_c 7.843
_cell_angle_alpha 90.00
_cell_angle_beta 106.77
_cell_angle_gamma 90.00
loop_
_space_group_symop_operation_xyz
'x,y,z'
'-x,-y,-z'
'-x,y,-z'
'x,-y,z'
'x+1/2,y+1/2,z'
'-x+1/2,-y+1/2,-z'
'-x+1/2,y+1/2,-z'
'x+1/2,-y+1/2,z'
loop_
_atom_site_label
_atom_site_fract_x
_atom_site_fract_y
_atom_site_fract_z
Li1 0.000 0.166 0.000
Np1 0.000 0.500 0.000
Tl1 0.000 0.000 0.500
Tl2 0.000 0.332 0.500
Se1 0.223 0.344 0.198
Se2 0.242 0.500 0.791
```

# 5
A relaxed Li3TmNp3Se8 crystal, computed with PBE.

The structure in CIF format:
```
data_Li3TmNp3Se8
_space_group_name_H-M_alt 'C 1 2/m 1'
_space_group_IT_number 12
_cell_length_a 13.775
_cell_length_b 8.214
_cell_length_c 8.001
_cell_angle_alpha 90.00
_cell_angle_beta 123.39
_cell_angle_gamma 90.00
loop_
_space_group_symop_operation_xyz
'x,y,z'
'-x,-y,-z'
'-x,y,-z'
'x,-y,z'
'x+1/2,y+1/2,z'
'-x+1/2,-y+1/2,-z'
'-x+1/2,y+1/2,-z'
'x+1/2,-y+1/2,z'
loop_
_atom_site_label
_atom_site_fract_x
_atom_site_fract_y
_atom_site_fract_z
Li1 0.000 0.000 0.000
Li2 0.250 0.250 0.500
Tm1 0.000 0.000 0.500
Np1 0.000 0.500 0.500
Np2 0.250 0.250 0.000
Se1 0.001 0.246 0.253
Se2 0.247 0.000 0.251
Se3 0.247 0.000 0.747
```

# 6
A relaxed Li4TmNp3Se8 crystal, computed with PBE.

The structure in CIF format:
```
data_Li4TmNp3Se8
_space_group_name_H-M_alt 'R -3 m'
_space_group_IT_number 166
_space_group_name_Hall '-R 3 2"'
_cell_length_a 8.1682
_cell_length_b 8.1682
_cell_length_c 19.4426
_cell_angle_alpha 90.00
_cell_angle_beta 90.00
_cell_angle_gamma 120.00
loop_
_atom_site_label
_atom_site_fract_x
_atom_site_fract_y
_atom_site_fract_z
Li1 0.0000 0.0000 0.0000
Li2 0.0000 0.5000 0.0000
Tm1 0.0000 0.0000 0.5000
Np1 0.0000 0.5000 0.5000
Se1 0.0000 0.0000 0.2516
Se2 0.0055 0.5027 0.2516
```

# 7
A relaxed LiTmNpSe3 crystal, computed with PBE.

The structure in CIF format:
```
data_LiTmNpSe3
_space_group_name_H-M_alt 'P 1 21/m 1'
_space_group_IT_number 11
_cell_length_a 8.359
_cell_length_b 3.959
_cell_length_c 8.764
_cell_angle_alpha 90.00
_cell_angle_beta 103.56
_cell_angle_gamma 90.00
loop_
_space_group_symop_operation_xyz
'x,y,z'
'-x,-y,-z'
'-x,y+1/2,-z'
'x,-y+1/2,z'
loop_
_atom_site_label
_atom_site_fract_x
_atom_site_fract_y
_atom_site_fract_z
Li1 0.086 0.250 0.081
Tm1 0.334 0.750 0.335
Np1 0.179 0.250 0.718
Se1 0.100 0.250 0.366
Se2 0.227 0.750 0.998
Se3 0.429 0.750 0.670
```

# 8
A relaxed LiTm3Np3Se8 crystal, computed with PBE.

The structure in CIF format:
```
data_LiTm3Np3Se8
_space_group_name_H-M_alt 'R -3 m'
_space_group_IT_number 166
_space_group_name_Hall '-R 3 2"'
_cell_length_a 8.0827
_cell_length_b 8.0827
_cell_length_c 19.8146
_cell_angle_alpha 90.00
_cell_angle_beta 90.00
_cell_angle_gamma 120.00
loop_
_atom_site_label
_atom_site_fract_x
_atom_site_fract_y
_atom_site_fract_z
Li1 0.0000 0.0000 0.0000
Tm1 0.0000 0.5000 0.5000
Np1 0.0000 0.5000 0.0000
Se1 0.0000 0.0000 0.2475
Se2 0.0066 0.5033 0.7509
```

# 9
A relaxed LiTmNp2Se4 crystal, computed with PBE.

The structure in CIF format:
```
data_LiTmNp2Se4
_space_group_name_H-M_alt 'P 1 2/m 1'
_space_group_IT_number 10
_cell_length_a 7.001
_cell_length_b 4.052
_cell_length_c 7.041
_cell_angle_alpha 90.00
_cell_angle_beta 109.38
_cell_angle_gamma 90.00
loop_
_space_group_symop_operation_xyz
'x,y,z'
'-x,-y,-z'
'-x,y,-z'
'x,-y,z'
loop_
_atom_site_label
_atom_site_fract_x
_atom_site_fract_y
_atom_site_fract_z
Li1 0.000 0.000 0.000
Tm1 0.500 0.500 0.000
Np1 0.000 0.500 0.500
Np2 0.500 0.000 0.500
Se1 0.244 0.500 0.237
Se2 0.249 0.000 0.762
```

# 10
A relaxed Li2TmNp3Se6 crystal, computed with PBE.

The structure in CIF format:
```
data_Li2TmNp3Se6
_space_group_name_H-M_alt 'C 1 2/m 1'
_space_group_IT_number 12
_cell_length_a 17.683
_cell_length_b 4.067
_cell_length_c 8.096
_cell_angle_alpha 90.00
_cell_angle_beta 102.94
_cell_angle_gamma 90.00
loop_
_space_group_symop_operation_xyz
'x,y,z'
'-x,-y,-z'
'-x,y,-z'
'x,-y,z'
'x+1/2,y+1/2,z'
'-x+1/2,-y+1/2,-z'
'-x+1/2,y+1/2,-z'
'x+1/2,-y+1/2,z'
loop_
_atom_site_label
_atom_site_fract_x
_atom_site_fract_y
_atom_site_fract_z
Li1 0.173 0.000 0.346
Tm1 0.000 0.500 0.000
Np1 0.000 0.500 0.500
Np2 0.168 0.000 0.830
Se1 0.003 0.000 0.245
Se2 0.164 0.500 0.089
Se3 0.168 0.500 0.576
```

| no. | M_tot (μB/f.u.) | E_tot (eV/cell) |
| --- | --- | --- |
| 1 | 5.00 | -126.6 |
| 2 | 8.00 | -209.4 |
| 3 | 12.00 | -157.1 |
| 4 | 0.00 | -106.4 |
| 5 | 3.60 | -192.2 |
| 6 | 12.00 | -299.3 |
| 7 | 4.73 | -75.8 |
| 8 | 13.07 | -310.1 |
| 9 | 9.06 | -56.7 |
| 10 | 13.40 | -166.8 |